Entry from Alexandria: a relaxed RbCrO2F crystal (PBE+U). Values from VASP.

Geometry as Quantum ESPRESSO input:
```
&SYSTEM
  ibrav = 0, nat = 5, ntyp = 4
/
ATOMIC_SPECIES
Cr 52.00 Cr.upf
O 16.00 O.upf
Rb 85.47 Rb.upf
F 19.00 F.upf
ATOMIC_POSITIONS crystal
Cr 0.0000 0.0000 0.0000
O 0.0000 0.0000 0.5000
O 0.5000 0.0000 0.0000
Rb 0.5000 0.5000 0.5000
F 0.0000 0.5000 0.0000
CELL_PARAMETERS angstrom
-1.0708 -0.8812 -3.6352
4.0852 0.2849 -1.2724
0.5030 -3.7808 0.7683
```

Calculated values
VASP energy in eV/cell: -29.032
Fermi-level density of states in states/eV per atom: 0.33